{"formula": "MnCdF5", "functional": "PBE+U", "state": "optimized geometry", "space_group": "C2/c, No. 15", "total_energy_ev_per_atom": -4.815, "lattice": [[5.323, -0.306, -0.233], [1.399, 5.145, -0.233], [2.169, 1.561, 7.263]], "species": ["Mn", "Mn", "Cd", "Cd", "F", "F", "F", "F", "F", "F", "F", "F", "F", "F"], "frac_coords": [[0.530, 0.470, 0.250], [0.470, 0.530, 0.750], [0.000, 0.000, 0.000], [0.000, 0.000, 0.500], [0.774, 0.690, 0.183], [0.305, 0.665, 0.435], [0.690, 0.774, 0.683], [0.827, 0.173, 0.250], [0.335, 0.695, 0.065], [0.665, 0.305, 0.935], [0.173, 0.827, 0.750], [0.310, 0.226, 0.317], [0.695, 0.335, 0.565], [0.226, 0.310, 0.817]]}